Entry 1:
Below is an optimized crystal structure of LiMnPO4, with properties calculated at the PBE with a Hubbard U level.

abc: 4.934 7.531 4.934
angles: 90.00 90.00 90.00
Fractional coordinates of all 14 atoms:
Li 0.000 0.500 0.000
Li 0.500 0.000 0.500
O 0.822 0.632 0.689
O 0.189 0.868 0.678
O 0.811 0.868 0.322
O 0.678 0.132 0.811
O 0.178 0.632 0.311
O 0.689 0.368 0.178
O 0.322 0.132 0.189
O 0.311 0.368 0.822
Mn 0.500 0.500 0.500
Mn 0.000 0.000 0.000
P 0.000 0.750 0.500
P 0.500 0.250 0.000

SG   No. 82
Electronic total energy   -7.1631 eV/atom

Entry 2:
Below is an optimized crystal structure of CrSnN2F, with properties calculated at the PBE with a Hubbard U level.

abc: 4.145 4.145 4.134
angles: 90.00 90.00 90.00
Fractional coordinates of all 5 atoms:
Sn 0.000 0.000 0.000
N 0.000 0.500 0.000
N 0.500 0.000 0.000
F 0.000 0.000 0.500
Cr 0.500 0.500 0.500

SG   No. 123
Electronic total energy   -5.6889 eV/atom

Which value of electronic total energy does entry 1 give? -7.1631 eV/atom